Density functional theory data (PBE-GGA) for an optimized crystal structure of NiCSe3.

Cell: 4.643 4.643 4.643 Å, 90.00 90.00 90.00°
Fractional positions:
Se  0.000  0.500  0.000
Se  0.500  0.000  0.000
Se  0.000  0.000  0.500
C  0.500  0.500  0.500
Ni  0.000  0.000  0.000

* formation energy without anion corrections: 1.6326 eV per atom
* calculated total energy: -3.459 eV/atom
* space-group type: Pm-3m
* magnetization: 0.12 μB/cell